--- a ---
This record from Alexandria via LeMat-Bulk describes a relaxed structure of Mn2Cd2Si. The functional is GGA-PBE.

Calculated values
crystal system = tetragonal

Unit cell a=3.136 b=3.136 c=9.036 alpha=80.01 beta=80.01 gamma=90.00
Fractional coordinates of all 5 atoms:
Si  0.000  0.000  0.000
Mn  0.750  0.250  0.500
Mn  0.250  0.750  0.500
Cd  0.386  0.386  0.228
Cd  0.614  0.614  0.772

--- b ---
This record from Alexandria via LeMat-Bulk describes a relaxed structure of Mn2Cd2Si. The functional is GGA-PBE.

Calculated values
crystal system = tetragonal

Unit cell a=5.991 b=5.991 c=4.483 alpha=90.00 beta=90.00 gamma=90.00
Last column: magnetic moment on the atom in μB.
Fractional coordinates of all 10 atoms:
Si  0.000  0.000  0.000  -0.11
Si  0.500  0.500  0.000  -0.11
Mn  0.361  0.861  0.000  1.78
Mn  0.861  0.639  0.000  1.79
Mn  0.639  0.139  0.000  1.78
Mn  0.139  0.361  0.000  1.79
Cd  0.169  0.669  0.500  -0.05
Cd  0.669  0.831  0.500  -0.05
Cd  0.831  0.331  0.500  -0.05
Cd  0.331  0.169  0.500  -0.05

--- c ---
This record from Alexandria via LeMat-Bulk describes a relaxed structure of Mn2Cd2Si. The functional is GGA-PBE.

Calculated values
crystal system = tetragonal

Unit cell a=8.043 b=8.043 c=2.877 alpha=90.00 beta=90.00 gamma=90.00
Last column: magnetic moment on the atom in μB.
Fractional coordinates of all 10 atoms:
Si  0.000  0.000  0.000  -0.05
Si  0.500  0.500  0.000  -0.05
Mn  0.120  0.620  0.500  3.54
Mn  0.620  0.880  0.500  3.52
Mn  0.880  0.380  0.500  3.54
Mn  0.380  0.120  0.500  3.52
Cd  0.324  0.824  0.000  -0.05
Cd  0.824  0.676  0.000  -0.05
Cd  0.676  0.176  0.000  -0.05
Cd  0.176  0.324  0.000  -0.05

Energy relative to the most stable one, in eV/atom: a 0.454; b 0.000; c 0.395

--- a ---
This record from Alexandria via LeMat-Bulk describes a relaxed structure of Mn3CdSi. The functional is GGA-PBE.

Calculated values
crystal system = cubic

Unit cell a=4.911 b=4.911 c=4.911 alpha=90.00 beta=90.00 gamma=90.00
Last column: magnetic moment on the atom in μB.
Fractional coordinates of all 5 atoms:
Si  0.500  0.500  0.500  -0.17
Mn  0.000  0.500  0.000  3.92
Mn  0.000  0.000  0.500  4.15
Mn  0.500  0.000  0.000  3.72
Cd  0.000  0.000  0.000  -0.08

--- b ---
This record from Alexandria via LeMat-Bulk describes a relaxed structure of Mn3CdSi. The functional is GGA-PBE.

Calculated values
crystal system = cubic

Unit cell a=4.447 b=4.447 c=4.447 alpha=90.00 beta=90.00 gamma=90.00
Last column: magnetic moment on the atom in μB.
Fractional coordinates of all 5 atoms:
Si  0.000  0.000  0.000  -0.16
Mn  0.000  0.500  0.000  3.19
Mn  0.000  0.000  0.500  3.22
Mn  0.500  0.000  0.000  3.11
Cd  0.500  0.500  0.500  -0.10

Energy relative to the most stable one, in eV/atom: a 0.942; b 0.000